A plane-wave DFT calculation with PBE was carried out for a relaxed structure of Ca2InSiPd6.

Summary:
The value obtained for the uncorrected formation energy is -582 meV/atom. The value obtained for the volume is 192.0 Å³ per cell.

CIF file:
```
data_Ca2InSiPd6
_cell_length_a 5.604
_cell_length_b 6.270
_cell_length_c 6.729
_cell_angle_alpha 73.76
_cell_angle_beta 65.58
_cell_angle_gamma 63.96
_space_group_name_H-M_alt 'P -1'
_space_group_IT_number 2
loop_
_space_group_symop_operation_xyz
'x,y,z'
'-x,-y,-z'
loop_
_atom_site_label
_atom_site_type_symbol
_atom_site_fract_x
_atom_site_fract_y
_atom_site_fract_z
Ca1 Ca 0.008 0.239 0.247
In1 In 0.500 0.000 0.500
Si1 Si 0.500 0.500 0.000
Pd1 Pd 0.023 0.677 0.284
Pd2 Pd 0.329 0.919 0.928
Pd3 Pd 0.486 0.329 0.712
```